# PPtBr2

An optimized crystal structure of PPtBr2 (PBE, Alexandria).

Cell lengths 2.974, 2.974, 12.050 Å; angles 90.00, 90.00, 90.00 degrees
Fractional coordinates of all 4 atoms:
P: 0.000 0.000 0.000
Pt: 0.500 0.500 0.097
Br: 0.000 0.000 0.371
Br: 0.500 0.500 0.706

Calculated values
- space group = P4mm
- theoretical density (Mg/m³) = 6.01
- density of states at the Fermi level (states/eV/cell) = 2.7
- calculated total energy (eV per atom) = -3.5353
- crystal system = tetragonal